No. 1
Below is a relaxed structure of AgF, with properties calculated at the PBE level.

Cell: 4.1986 4.1986 4.9826 Å, 90.00 90.00 120.00°
Space group P6_3/mmc (No. 194)
Symmetry-distinct sites (fractional):
Ag 0.3333 0.6667 0.2500
F 0.3333 0.6667 0.7500

Values from the calculation:
- Crystal system: hexagonal
- Raw formation energy: -0.92 eV per atom
- Magnetization: 0.00 μB per formula unit


No. 2
Below is a relaxed structure of AgF, with properties calculated at the PBE level.

Cell: 5.006 5.008 9.812 Å, 90.00 90.00 90.00°
Space group P2_12_12_1 (No. 19)
Symmetry-distinct sites (fractional):
Ag 0.205 0.025 0.026
Ag 0.212 0.456 0.252
F 0.201 0.528 0.002
F 0.208 0.048 0.775

Values from the calculation:
- Crystal system: orthorhombic
- Raw formation energy: -0.96 eV per atom
- Magnetization: 0.00 μB per formula unit


No. 3
Below is a relaxed structure of AgF, with properties calculated at the PBE level.

Cell: 7.366 7.366 7.366 Å, 90.00 90.00 90.00°
Space group I-43m (No. 217)
Symmetry-distinct sites (fractional):
Ag 0.176 0.176 0.824
F 0.150 0.150 0.150

Values from the calculation:
- Crystal system: cubic
- Raw formation energy: -0.88 eV per atom
- Magnetization: 0.00 μB per formula unit


What is the formula in the third record?
AgF


Among the records above, which one has the lowest raw formation energy?
number 2